# Cs2MnInO4, relaxed, DFT GGA+U
data_Cs2MnInO4
_chemical_formula_sum 'Cs16 Mn8 In8 O32'
_symmetry_space_group_name_H-M 'F d d d'
_symmetry_Int_Tables_number 70
_cell_length_a 5.764
_cell_length_b 13.415
_cell_length_c 22.106
_cell_angle_alpha 90.00
_cell_angle_beta 90.00
_cell_angle_gamma 90.00
loop_
_symmetry_equiv_pos_as_xyz
'x,y,z'
'-x,-y,-z'
'-x+1/4,-y+1/4,z'
'x+1/4,y+1/4,-z'
'x,-y+1/4,-z+1/4'
'-x,y+1/4,z+1/4'
'-x+1/4,y,-z+1/4'
'x+1/4,-y,z+1/4'
'x,y+1/2,z+1/2'
'-x,-y+1/2,-z+1/2'
'-x+1/4,-y+3/4,z+1/2'
'x+1/4,y+3/4,-z+1/2'
'x,-y+3/4,-z+3/4'
'-x,y+3/4,z+3/4'
'-x+1/4,y+1/2,-z+3/4'
'x+1/4,-y+1/2,z+3/4'
'x+1/2,y,z+1/2'
'-x+1/2,-y,-z+1/2'
'-x+3/4,-y+1/4,z+1/2'
'x+3/4,y+1/4,-z+1/2'
'x+1/2,-y+1/4,-z+3/4'
'-x+1/2,y+1/4,z+3/4'
'-x+3/4,y,-z+3/4'
'x+3/4,-y,z+3/4'
'x+1/2,y+1/2,z'
'-x+1/2,-y+1/2,-z'
'-x+3/4,-y+3/4,z'
'x+3/4,y+3/4,-z'
'x+1/2,-y+3/4,-z+1/4'
'-x+1/2,y+3/4,z+1/4'
'-x+3/4,y+1/2,-z+1/4'
'x+3/4,-y+1/2,z+1/4'
loop_
_atom_site_label
_atom_site_type_symbol
_atom_site_fract_x
_atom_site_fract_y
_atom_site_fract_z
Cs1 Cs 0.125 0.125 0.308
Mn1 Mn 0.125 0.125 0.625
In1 In 0.125 0.125 0.125
O1 O 0.106 0.281 0.847
# E_tot = -341.34 eV for the cell shown